Record 1
# PRh2Au2

A relaxed PRh2Au2 crystal (PBE-GGA, the Alexandria database).

## Properties
- ρ: 12.64 Mg/m³

Structure (CIF):
```
data_PRh2Au2
_space_group_name_H-M_alt 'P 4/m b m'
_space_group_IT_number 127
_space_group_name_Hall '-P 4 2ab'
_cell_length_a 5.934
_cell_length_b 5.934
_cell_length_c 4.706
_cell_angle_alpha 90.00
_cell_angle_beta 90.00
_cell_angle_gamma 90.00
loop_
_atom_site_label
_atom_site_type_symbol
_atom_site_fract_x
_atom_site_fract_y
_atom_site_fract_z
P1 P 0.000 0.000 0.000
Rh1 Rh 0.157 0.343 0.000
Au1 Au 0.164 0.664 0.500
```

Record 2
# PRhAu2

A relaxed PRhAu2 crystal (PBE-GGA, the Alexandria database).

## Properties
- ρ: 13.49 Mg/m³

Structure (CIF):
```
data_PRhAu2
_space_group_name_H-M_alt 'I -4 m 2'
_space_group_IT_number 119
_space_group_name_Hall 'I -4 -2'
_cell_length_a 4.057
_cell_length_b 4.057
_cell_length_c 7.893
_cell_angle_alpha 90.00
_cell_angle_beta 90.00
_cell_angle_gamma 90.00
loop_
_atom_site_label
_atom_site_type_symbol
_atom_site_fract_x
_atom_site_fract_y
_atom_site_fract_z
P1 P 0.000 0.000 0.000
Rh1 Rh 0.000 0.500 0.750
Au1 Au 0.000 0.000 0.500
Au2 Au 0.000 0.500 0.250
```

Record 3
# PRhAu2

A relaxed PRhAu2 crystal (PBE-GGA, the Alexandria database).

## Properties
- ρ: 12.93 Mg/m³

Structure (CIF):
```
data_PRhAu2
_space_group_name_H-M_alt 'I m m m'
_space_group_IT_number 71
_space_group_name_Hall '-I 2 2'
_cell_length_a 3.105
_cell_length_b 3.650
_cell_length_c 11.966
_cell_angle_alpha 90.00
_cell_angle_beta 90.00
_cell_angle_gamma 90.00
loop_
_atom_site_label
_atom_site_type_symbol
_atom_site_fract_x
_atom_site_fract_y
_atom_site_fract_z
P1 P 0.000 0.000 0.000
Rh1 Rh 0.000 0.000 0.500
Au1 Au 0.000 0.500 0.316
```

Record 4
# P2RhAu

A relaxed P2RhAu crystal (PBE-GGA, the Alexandria database).

## Properties
- ρ: 9.68 Mg/m³

Structure (CIF):
```
data_P2RhAu
_space_group_name_H-M_alt 'F -4 3 m'
_space_group_IT_number 216
_space_group_name_Hall 'F -4 2 3'
_cell_length_a 6.286
_cell_length_b 6.286
_cell_length_c 6.286
_cell_angle_alpha 90.00
_cell_angle_beta 90.00
_cell_angle_gamma 90.00
loop_
_atom_site_label
_atom_site_type_symbol
_atom_site_fract_x
_atom_site_fract_y
_atom_site_fract_z
P1 P 0.000 0.000 0.000
P2 P 0.250 0.250 0.250
Rh1 Rh 0.250 0.250 0.750
Au1 Au 0.000 0.000 0.500
```

Record 5
# PRhAu2

A relaxed PRhAu2 crystal (PBE-GGA, the Alexandria database).

## Properties
- ρ: 13.12 Mg/m³

Structure (CIF):
```
data_PRhAu2
_space_group_name_H-M_alt 'C 1 2/m 1'
_space_group_IT_number 12
_cell_length_a 5.295
_cell_length_b 9.907
_cell_length_c 3.107
_cell_angle_alpha 90.00
_cell_angle_beta 124.92
_cell_angle_gamma 90.00
loop_
_space_group_symop_operation_xyz
'x,y,z'
'-x,-y,-z'
'-x,y,-z'
'x,-y,z'
'x+1/2,y+1/2,z'
'-x+1/2,-y+1/2,-z'
'-x+1/2,y+1/2,-z'
'x+1/2,-y+1/2,z'
loop_
_atom_site_label
_atom_site_type_symbol
_atom_site_fract_x
_atom_site_fract_y
_atom_site_fract_z
P1 P 0.000 0.000 0.000
Rh1 Rh 0.000 0.500 0.000
Au1 Au 0.250 0.250 0.500
```

Record 6
# P2RhAu

A relaxed P2RhAu crystal (PBE-GGA, the Alexandria database).

## Properties
- ρ: 9.90 Mg/m³

Structure (CIF):
```
data_P2RhAu
_space_group_name_H-M_alt 'F m -3 m'
_space_group_IT_number 225
_space_group_name_Hall '-F 4 2 3'
_cell_length_a 6.239
_cell_length_b 6.239
_cell_length_c 6.239
_cell_angle_alpha 90.00
_cell_angle_beta 90.00
_cell_angle_gamma 90.00
loop_
_atom_site_label
_atom_site_type_symbol
_atom_site_fract_x
_atom_site_fract_y
_atom_site_fract_z
P1 P 0.250 0.250 0.250
Rh1 Rh 0.000 0.000 0.000
Au1 Au 0.000 0.000 0.500
```

Record 7
# P2RhAu

A relaxed P2RhAu crystal (PBE-GGA, the Alexandria database).

## Properties
- ρ: 9.88 Mg/m³

Structure (CIF):
```
data_P2RhAu
_space_group_name_H-M_alt 'P 4/m m m'
_space_group_IT_number 123
_space_group_name_Hall '-P 4 2'
_cell_length_a 4.322
_cell_length_b 4.322
_cell_length_c 3.256
_cell_angle_alpha 90.00
_cell_angle_beta 90.00
_cell_angle_gamma 90.00
loop_
_atom_site_label
_atom_site_type_symbol
_atom_site_fract_x
_atom_site_fract_y
_atom_site_fract_z
P1 P 0.000 0.500 0.000
Rh1 Rh 0.000 0.000 0.500
Au1 Au 0.500 0.500 0.500
```

Record 8
# PRh2Au

A relaxed PRh2Au crystal (PBE-GGA, the Alexandria database).

## Properties
- ρ: 11.12 Mg/m³

Structure (CIF):
```
data_PRh2Au
_space_group_name_H-M_alt 'R -3 m'
_space_group_IT_number 166
_space_group_name_Hall '-R 3 2"'
_cell_length_a 3.5701
_cell_length_b 3.5701
_cell_length_c 17.6027
_cell_angle_alpha 90.00
_cell_angle_beta 90.00
_cell_angle_gamma 120.00
loop_
_atom_site_label
_atom_site_type_symbol
_atom_site_fract_x
_atom_site_fract_y
_atom_site_fract_z
P1 P 0.0000 0.0000 0.0000
Rh1 Rh 0.0000 0.0000 0.2750
Au1 Au 0.0000 0.0000 0.5000
```

Record 9
# PRhAu2

A relaxed PRhAu2 crystal (PBE-GGA, the Alexandria database).

## Properties
- ρ: 12.84 Mg/m³

Structure (CIF):
```
data_PRhAu2
_space_group_name_H-M_alt 'I -4 2 d'
_space_group_IT_number 122
_space_group_name_Hall 'I -4 2bw'
_cell_length_a 7.337
_cell_length_b 7.337
_cell_length_c 5.072
_cell_angle_alpha 90.00
_cell_angle_beta 90.00
_cell_angle_gamma 90.00
loop_
_atom_site_label
_atom_site_type_symbol
_atom_site_fract_x
_atom_site_fract_y
_atom_site_fract_z
P1 P 0.000 0.000 0.000
Rh1 Rh 0.000 0.000 0.500
Au1 Au 0.210 0.250 0.125
```

Record 10
# PRhAu2

A relaxed PRhAu2 crystal (PBE-GGA, the Alexandria database).

## Properties
- ρ: 13.17 Mg/m³

Structure (CIF):
```
data_PRhAu2
_space_group_name_H-M_alt 'C m m m'
_space_group_IT_number 65
_space_group_name_Hall '-C 2 2'
_cell_length_a 2.814
_cell_length_b 4.956
_cell_length_c 9.546
_cell_angle_alpha 90.00
_cell_angle_beta 90.00
_cell_angle_gamma 90.00
loop_
_atom_site_label
_atom_site_type_symbol
_atom_site_fract_x
_atom_site_fract_y
_atom_site_fract_z
P1 P 0.000 0.000 0.000
Rh1 Rh 0.000 0.000 0.500
Au1 Au 0.000 0.500 0.250
```

Record 11
# PRhAu4

A relaxed PRhAu4 crystal (PBE-GGA, the Alexandria database).

## Properties
- ρ: 13.59 Mg/m³

Structure (CIF):
```
data_PRhAu4
_space_group_name_H-M_alt 'F -4 3 m'
_space_group_IT_number 216
_space_group_name_Hall 'F -4 2 3'
_cell_length_a 7.666
_cell_length_b 7.666
_cell_length_c 7.666
_cell_angle_alpha 90.00
_cell_angle_beta 90.00
_cell_angle_gamma 90.00
loop_
_atom_site_label
_atom_site_type_symbol
_atom_site_fract_x
_atom_site_fract_y
_atom_site_fract_z
P1 P 0.000 0.000 0.000
Rh1 Rh 0.250 0.250 0.750
Au1 Au 0.125 0.125 0.375
```

Record 12
# PRhAu2

A relaxed PRhAu2 crystal (PBE-GGA, the Alexandria database).

## Properties
- ρ: 13.33 Mg/m³

Structure (CIF):
```
data_PRhAu2
_space_group_name_H-M_alt 'P m m m'
_space_group_IT_number 47
_cell_length_a 2.945
_cell_length_b 4.533
_cell_length_c 4.925
_cell_angle_alpha 90.00
_cell_angle_beta 90.00
_cell_angle_gamma 90.00
loop_
_space_group_symop_operation_xyz
'x,y,z'
'-x,-y,-z'
'-x,-y,z'
'x,y,-z'
'x,-y,-z'
'-x,y,z'
'-x,y,-z'
'x,-y,z'
loop_
_atom_site_label
_atom_site_type_symbol
_atom_site_fract_x
_atom_site_fract_y
_atom_site_fract_z
P1 P 0.000 0.000 0.000
Rh1 Rh 0.500 0.500 0.000
Au1 Au 0.000 0.500 0.500
Au2 Au 0.500 0.000 0.500
```

Record 13
# PRh4Au

A relaxed PRh4Au crystal (PBE-GGA, the Alexandria database).

## Properties
- ρ: 11.04 Mg/m³

Structure (CIF):
```
data_PRh4Au
_space_group_name_H-M_alt 'F -4 3 m'
_space_group_IT_number 216
_space_group_name_Hall 'F -4 2 3'
_cell_length_a 7.273
_cell_length_b 7.273
_cell_length_c 7.273
_cell_angle_alpha 90.00
_cell_angle_beta 90.00
_cell_angle_gamma 90.00
loop_
_atom_site_label
_atom_site_type_symbol
_atom_site_fract_x
_atom_site_fract_y
_atom_site_fract_z
P1 P 0.000 0.000 0.000
Rh1 Rh 0.125 0.125 0.625
Au1 Au 0.250 0.250 0.250
```

Record 14
# P2RhAu

A relaxed P2RhAu crystal (PBE-GGA, the Alexandria database).

## Properties
- ρ: 8.76 Mg/m³

Structure (CIF):
```
data_P2RhAu
_space_group_name_H-M_alt 'P 1 2/m 1'
_space_group_IT_number 10
_cell_length_a 4.207
_cell_length_b 3.846
_cell_length_c 4.243
_cell_angle_alpha 90.00
_cell_angle_beta 92.21
_cell_angle_gamma 90.00
loop_
_space_group_symop_operation_xyz
'x,y,z'
'-x,-y,-z'
'-x,y,-z'
'x,-y,z'
loop_
_atom_site_label
_atom_site_type_symbol
_atom_site_fract_x
_atom_site_fract_y
_atom_site_fract_z
P1 P 0.145 0.000 0.300
Rh1 Rh 0.000 0.500 0.000
Au1 Au 0.500 0.500 0.500
```

Record 15
# PRhAu2

A relaxed PRhAu2 crystal (PBE-GGA, the Alexandria database).

## Properties
- ρ: 13.36 Mg/m³

Structure (CIF):
```
data_PRhAu2
_space_group_name_H-M_alt 'P m m m'
_space_group_IT_number 47
_cell_length_a 2.987
_cell_length_b 4.000
_cell_length_c 5.489
_cell_angle_alpha 90.00
_cell_angle_beta 90.00
_cell_angle_gamma 90.00
loop_
_space_group_symop_operation_xyz
'x,y,z'
'-x,-y,-z'
'-x,-y,z'
'x,y,-z'
'x,-y,-z'
'-x,y,z'
'-x,y,-z'
'x,-y,z'
loop_
_atom_site_label
_atom_site_type_symbol
_atom_site_fract_x
_atom_site_fract_y
_atom_site_fract_z
P1 P 0.000 0.000 0.000
Rh1 Rh 0.000 0.000 0.500
Au1 Au 0.500 0.500 0.249
```

no.,formation enthalpy at 0 K (eV/atom)
1,-0.14
2,0.28
3,0.01
4,0.51
5,0.23
6,0.24
7,0.24
8,-0.38
9,0.19
10,0.38
11,0.62
12,0.26
13,0.53
14,-0.07
15,0.31